# NdAlGaNi3, optimized geometry, DFT PBE
data_NdAlGaNi3
_chemical_formula_sum 'Nd2 Al2 Ga2 Ni6'
_cell_length_a 5.4170
_cell_length_b 6.1492
_cell_length_c 6.7418
_cell_angle_alpha 117.13
_cell_angle_beta 90.00
_cell_angle_gamma 90.00
_symmetry_space_group_name_H-M 'P 1'
_symmetry_Int_Tables_number 1
loop_
_symmetry_equiv_pos_as_xyz
'x,y,z'
loop_
_atom_site_label
_atom_site_type_symbol
_atom_site_fract_x
_atom_site_fract_y
_atom_site_fract_z
Nd1 Nd 0.2500 0.7132 0.4263
Nd2 Nd 0.7500 0.2868 0.5737
Ga1 Ga 0.2500 0.3647 0.7293
Ga2 Ga 0.7500 0.6353 0.2707
Ni1 Ni 0.0000 0.6972 0.0000
Ni2 Ni 0.5000 0.3028 0.0000
Ni3 Ni 0.5000 0.6972 0.0000
Ni4 Ni 0.0000 0.3028 0.0000
Ni5 Ni 0.2500 0.1598 0.3195
Ni6 Ni 0.7500 0.8402 0.6805
Al1 Al 0.2500 0.9622 0.9244
Al2 Al 0.7500 0.0378 0.0756
# Fermi-level density of states: 5.83 states/eV/cell
# symmetry: No. 63
# DFT formation energy: -1.8 eV per formula unit

# NdAl2GaNi4, optimized geometry, DFT PBE
data_NdAl2GaNi4
_chemical_formula_sum 'Nd1 Al2 Ga1 Ni4'
_cell_length_a 4.0762
_cell_length_b 4.0762
_cell_length_c 8.7665
_cell_angle_alpha 76.56
_cell_angle_beta 76.56
_cell_angle_gamma 60.00
_symmetry_space_group_name_H-M 'P 1'
_symmetry_Int_Tables_number 1
loop_
_symmetry_equiv_pos_as_xyz
'x,y,z'
loop_
_atom_site_label
_atom_site_type_symbol
_atom_site_fract_x
_atom_site_fract_y
_atom_site_fract_z
Ni1 Ni 0.8664 0.8664 0.4008
Ni2 Ni 0.1336 0.1336 0.5992
Ni3 Ni 0.5932 0.5932 0.2205
Ni4 Ni 0.4068 0.4068 0.7795
Al1 Al 0.2374 0.2374 0.2876
Al2 Al 0.7625 0.7625 0.7124
Ga1 Ga 0.5000 0.5000 0.5000
Nd1 Nd 0.0000 0.0000 0.0000
# Fermi-level density of states: 4.44 states/eV/cell
# symmetry: No. 166
# DFT formation energy: -3.9 eV per formula unit

# NdAl2GaNi2, optimized geometry, DFT PBE
data_NdAl2GaNi2
_chemical_formula_sum 'Nd1 Al2 Ga1 Ni2'
_cell_length_a 4.3862
_cell_length_b 4.3862
_cell_length_c 5.6897
_cell_angle_alpha 90.00
_cell_angle_beta 90.00
_cell_angle_gamma 90.00
_symmetry_space_group_name_H-M 'P 1'
_symmetry_Int_Tables_number 1
loop_
_symmetry_equiv_pos_as_xyz
'x,y,z'
loop_
_atom_site_label
_atom_site_type_symbol
_atom_site_fract_x
_atom_site_fract_y
_atom_site_fract_z
Al1 Al 0.5000 0.5000 0.2471
Al2 Al 0.5000 0.5000 0.7529
Nd1 Nd 0.0000 0.0000 0.5000
Ni1 Ni 0.5000 0.0000 0.0000
Ni2 Ni 0.0000 0.5000 0.0000
Ga1 Ga 0.0000 0.0000 0.0000
# Fermi-level density of states: 3.90 states/eV/cell
# symmetry: No. 123
# DFT formation energy: -2.0 eV per formula unit

Question: DFT formation energy of number 3 (NdAl2GaNi2)?
Answer: -2.0 eV per formula unit

Question: Fermi-level density of states of number 1 (NdAlGaNi3)?
Answer: 5.83 states/eV/cell

Question: Look up the DFT formation energy of the first one.
Answer: -1.8 eV per formula unit